DFT (GGA-PBE) results for a geometry-optimized Ac5Nd3Sc12 structure.

Energy of formation: 0.99 eV per atom

CIF file:
```
data_Ac5Nd3Sc12
_cell_length_a 16.2577
_cell_length_b 16.2577
_cell_length_c 16.2577
_cell_angle_alpha 109.47
_cell_angle_beta 109.47
_cell_angle_gamma 109.47
_space_group_name_H-M_alt 'P 1'
_space_group_IT_number 1
_space_group_name_Hall 'P 1'
loop_
_atom_site_label
_atom_site_type_symbol
_atom_site_fract_x
_atom_site_fract_y
_atom_site_fract_z
Sc1 Sc 0.0730 0.1389 0.2316
Sc2 Sc 0.4073 0.6389 0.0660
Sc3 Sc 0.3413 0.9073 0.7684
Ac1 Ac 0.7500 0.6250 0.3750
Sc4 Sc 0.8611 0.9270 0.2684
Ac2 Ac 0.8750 0.6250 0.7500
Sc5 Sc 0.2316 0.6389 0.0730
Sc6 Sc 0.5730 0.7316 0.6389
Sc7 Sc 0.9340 0.8611 0.5927
Sc8 Sc 0.3413 0.4340 0.0730
Ac3 Ac 0.8750 0.2500 0.6250
Ac4 Ac 0.5000 0.5000 0.5000
Sc9 Sc 0.4270 0.1587 0.5660
Ac5 Ac 0.0000 0.0000 0.0000
Sc10 Sc 0.6389 0.4073 0.5660
Sc11 Sc 0.2684 0.8413 0.9073
Sc12 Sc 0.5730 0.8413 0.4340
Sc13 Sc 0.3611 0.5927 0.4340
Sc14 Sc 0.0660 0.9270 0.1587
Ac6 Ac 0.2500 0.8750 0.1250
Ac7 Ac 0.6250 0.8750 0.2500
Ac8 Ac 0.3750 0.2500 0.1250
Nd1 Nd 0.2500 0.6250 0.8750
Sc15 Sc 0.9073 0.5660 0.1389
Ac9 Ac 0.0000 0.5000 0.5000
Nd2 Nd 0.7500 0.3750 0.1250
Sc16 Sc 0.5660 0.9073 0.6389
Sc17 Sc 0.8413 0.5730 0.9340
Ac10 Ac 0.5000 0.0000 0.0000
Ac11 Ac 0.1250 0.3750 0.2500
Nd3 Nd 0.6250 0.3750 0.7500
Ac12 Ac 0.3750 0.1250 0.7500
Ac13 Ac 0.5000 0.5000 0.0000
Ac14 Ac 0.0000 0.0000 0.5000
Sc18 Sc 0.4340 0.0927 0.3611
Sc19 Sc 0.4340 0.3413 0.5730
Sc20 Sc 0.2684 0.4270 0.8611
Sc21 Sc 0.8413 0.2684 0.4073
Sc22 Sc 0.6389 0.2316 0.5730
Ac15 Ac 0.7500 0.1250 0.8750
Sc23 Sc 0.7316 0.1587 0.0927
Sc24 Sc 0.0927 0.4340 0.8611
Sc25 Sc 0.1587 0.4270 0.0660
Sc26 Sc 0.1587 0.7316 0.5927
Sc27 Sc 0.4270 0.2684 0.3611
Sc28 Sc 0.7684 0.4073 0.3413
Nd4 Nd 0.7500 0.8750 0.6250
Ac16 Ac 0.0000 0.5000 0.0000
Nd5 Nd 0.1250 0.2500 0.8750
Sc29 Sc 0.9340 0.0730 0.8413
Sc30 Sc 0.9270 0.8611 0.7684
Sc31 Sc 0.4073 0.7684 0.8413
Sc32 Sc 0.2316 0.5927 0.6587
Ac17 Ac 0.2500 0.3750 0.6250
Sc33 Sc 0.0927 0.6587 0.7316
Sc34 Sc 0.5660 0.6587 0.4270
Sc35 Sc 0.0660 0.1389 0.4073
Sc36 Sc 0.3611 0.7684 0.4270
Nd6 Nd 0.2500 0.1250 0.3750
Sc37 Sc 0.1389 0.0730 0.7316
Sc38 Sc 0.9270 0.0660 0.6587
Nd7 Nd 0.8750 0.7500 0.1250
Sc39 Sc 0.9073 0.3413 0.2684
Nd8 Nd 0.6250 0.2500 0.3750
Nd9 Nd 0.8750 0.1250 0.2500
Sc40 Sc 0.0730 0.9340 0.3413
Nd10 Nd 0.3750 0.6250 0.2500
Ac18 Ac 0.6250 0.7500 0.8750
Ac19 Ac 0.5000 0.0000 0.5000
Sc41 Sc 0.7316 0.5730 0.1389
Sc42 Sc 0.7684 0.3611 0.9270
Nd11 Nd 0.1250 0.8750 0.7500
Sc43 Sc 0.5927 0.2316 0.1587
Sc44 Sc 0.8611 0.9340 0.0927
Sc45 Sc 0.6587 0.0927 0.2316
Sc46 Sc 0.1389 0.0660 0.9073
Ac20 Ac 0.1250 0.7500 0.3750
Sc47 Sc 0.5927 0.3611 0.9340
Sc48 Sc 0.6587 0.5660 0.9270
Nd12 Nd 0.3750 0.7500 0.6250
```

DFT (GGA-PBE) results for a geometry-optimized Ac2NdScSe5 structure.

Raw formation energy: -1771.2 meV/atom

CIF file:
```
data_Ac2NdScSe5
_cell_length_a 4.1864
_cell_length_b 9.0784
_cell_length_c 14.2298
_cell_angle_alpha 90.00
_cell_angle_beta 90.00
_cell_angle_gamma 103.33
_space_group_name_H-M_alt 'P 1'
_space_group_IT_number 1
_space_group_name_Hall 'P 1'
loop_
_atom_site_label
_atom_site_type_symbol
_atom_site_fract_x
_atom_site_fract_y
_atom_site_fract_z
Se1 Se 0.7053 0.4106 0.9033
Ac1 Ac 0.1395 0.2789 0.3016
Ac2 Ac 0.8605 0.7211 0.8016
Ac3 Ac 0.0882 0.1763 0.6412
Se2 Se 0.2947 0.5894 0.4033
Ac4 Ac 0.9118 0.8237 0.1412
Se3 Se 0.4956 0.9913 0.7619
Sc1 Sc 0.7751 0.5501 0.5309
Se4 Se 0.2611 0.5222 0.6705
Se5 Se 0.7389 0.4778 0.1705
Se6 Se 0.6240 0.2480 0.4809
Se7 Se 0.0797 0.1594 0.0831
Nd1 Nd 0.5485 0.0970 0.9506
Sc2 Sc 0.2249 0.4499 0.0309
Se8 Se 0.9203 0.8406 0.5831
Se9 Se 0.3760 0.7520 0.9809
Nd2 Nd 0.4515 0.9030 0.4506
Se10 Se 0.5044 0.0087 0.2619
```

DFT (GGA-PBE) results for a geometry-optimized AcNdScSe3 structure.

Raw formation energy: -1642.7 meV/atom

CIF file:
```
data_AcNdScSe3
_cell_length_a 4.2194
_cell_length_b 8.7755
_cell_length_c 9.5095
_cell_angle_alpha 105.91
_cell_angle_beta 90.00
_cell_angle_gamma 90.00
_space_group_name_H-M_alt 'P 1'
_space_group_IT_number 1
_space_group_name_Hall 'P 1'
loop_
_atom_site_label
_atom_site_type_symbol
_atom_site_fract_x
_atom_site_fract_y
_atom_site_fract_z
Se1 Se 0.2500 0.1009 0.8778
Sc1 Sc 0.2500 0.1042 0.6006
Se2 Se 0.2500 0.5639 0.8102
Sc2 Sc 0.7500 0.8958 0.3994
Ac1 Ac 0.2500 0.1859 0.2200
Se3 Se 0.7500 0.2252 0.4975
Se4 Se 0.7500 0.8991 0.1222
Nd1 Nd 0.2500 0.6519 0.1391
Se5 Se 0.2500 0.7748 0.5025
Nd2 Nd 0.7500 0.3481 0.8609
Ac2 Ac 0.7500 0.8141 0.7800
Se6 Se 0.7500 0.4361 0.1898
```

Across the entries above, total magnetization takes the values 7.5 0.0 0.7 μB/cell, respectively.